DFT (PBE-GGA) results for an optimized crystal structure of CsBe2Zn2As3.

Computed properties:
Symmetry: P4mm (99)
Uncorrected energy, eV per atom: -3.35

Unit cell a=4.0251 b=4.0251 c=10.5832 alpha=90.00 beta=90.00 gamma=90.00
Last column: nearest neighbours and their distance in Å.
Atoms (fractional coordinates):
As1 0.0000 0.0000 0.0231  4 Be 2.42, 4 Zn 2.68
As2 0.5000 0.5000 0.2598  4 Be 2.33
As3 0.5000 0.5000 0.7190  4 Zn 2.48
Be1 0.5000 0.0000 0.1497  4 As 2.33-2.42
Be2 0.0000 0.5000 0.1497  4 As 2.33-2.42
Cs1 0.0000 0.0000 0.4879  8 As 3.73-3.75, 4 Cs 4.03, 4 Be 4.11
Zn1 0.5000 0.0000 0.8554  4 As 2.48-2.68
Zn2 0.0000 0.5000 0.8554  4 As 2.48-2.68